The following is a DFT calculation (PBE) of LaGaNi3 after structural relaxation.

Cell: 5.0153 8.3963 8.1589 Å, 90.00 90.00 90.00°
Last column: nearest neighbours and their distance in Å.
Space group Imma (No. 74)
Unique sites:
La (0.0000, 0.2500, 0.0482) x4  11 Ni 3.06-3.36, 4 Ga 3.29
Ga (0.0000, 0.0000, 0.5000) x4  6 Ni 2.40-2.51
Ni (0.0000, 0.2500, 0.6681) x4  4 Ni 2.41, 2 Ga 2.51
Ni (0.2500, 0.0180, 0.7500) x8  2 Ga 2.40, 4 Ni 2.41-2.51

E above lowest polymorph ... 0.0 meV per atom
Energy of formation ... -406.3 meV/atom


The following is a DFT calculation (PBE) of LaGa3Ni after structural relaxation.

Cell: 8.3167 4.2212 10.8069 Å, 90.00 90.00 90.00°
Last column: nearest neighbours and their distance in Å.
Space group Pnma (No. 62)
Unique sites:
La (0.1880, 0.2500, 0.0135) x4  9 Ga 3.08-3.38, 2 Ni 3.29
Ga (0.0583, 0.2500, 0.5837) x4  3 Ni 2.52-2.55, 1 Ga 2.64
Ga (0.1262, 0.7500, 0.7919) x4  2 Ni 2.39-2.43
Ga (0.1328, 0.7500, 0.2211) x4  2 Ni 2.56, 1 Ga 2.64
Ni (0.0920, 0.2500, 0.3520) x4  7 Ga 2.39-2.56

Energy of formation ... -582.4 meV/atom


The following is a DFT calculation (PBE) of La12GaNi5 after structural relaxation.

Cell: 9.6604 10.0684 10.5145 Å, 90.00 90.00 90.00°
Last column: nearest neighbours and their distance in Å.
Space group Immm (No. 71)
Unique sites:
La (0.0000, 0.1849, 0.2051) x8  2 Ni 2.81-2.85
La (0.1923, 0.5000, 0.1711) x8  3 Ni 2.82-2.93
La (0.1955, 0.3210, 0.5000) x8  2 Ni 2.93
Ga (0.0000, 0.0000, 0.5000) x2  12 La 3.47-3.74
Ni (0.0000, 0.0000, 0.0000) x2  4 La 2.85
Ni (0.0000, 0.3638, 0.0000) x4  1 Ni 2.74, 6 La 2.81-2.93
Ni (0.0000, 0.5000, 0.3727) x4  1 Ni 2.68, 6 La 2.82-2.93

Energy of formation ... -261.9 meV/atom


The following is a DFT calculation (PBE) of La12GaNi6 after structural relaxation.

Cell: 10.1776 10.1776 10.1776 Å, 90.00 90.00 90.00°
Last column: nearest neighbours and their distance in Å.
Space group Im-3 (No. 204)
Unique sites:
La (0.0000, 0.3081, 0.1808) x24  3 Ni 2.77-2.97
Ga (0.0000, 0.0000, 0.0000) x2  12 La 3.64
Ni (0.0000, 0.1260, 0.5000) x12  1 Ni 2.56, 2 La 2.77

Energy of formation ... -288.9 meV/atom


The following is a DFT calculation (PBE) of La3Ga6Ni5 after structural relaxation.

Cell: 4.1897 12.7763 9.2841 Å, 90.00 90.00 90.00°
Last column: nearest neighbours and their distance in Å.
Space group Pmmn (No. 59, origin choice 2)
Unique sites:
La (0.2500, 0.0541, 0.2441) x4  6 Ni 2.98-3.28, 8 Ga 3.00-3.20
La (0.2500, 0.7500, 0.2713) x2  6 Ni 2.90-3.18, 2 Ga 3.24
Ga (0.2500, 0.0708, 0.5849) x4  4 Ni 2.58-2.74, 1 Ga 2.74
Ga (0.2500, 0.2500, 0.0296) x2  4 Ni 2.53-2.70, 4 Ga 2.81
Ga (0.2500, 0.2500, 0.4227) x2  4 Ni 2.53, 2 Ga 2.74
Ga (0.2500, 0.6039, 0.9867) x4  4 Ni 2.50-2.73
Ni (0.2500, 0.0915, 0.8665) x4  5 Ga 2.50-2.73
Ni (0.2500, 0.6418, 0.5455) x4  5 Ga 2.53-2.74, 2 Ni 2.64-2.77
Ni (0.2500, 0.7500, 0.7873) x2  6 Ga 2.63-2.86, 2 Ni 2.64

Energy of formation ... -534.9 meV/atom


The following is a DFT calculation (PBE) of LaGa3Ni3 after structural relaxation.

Cell: 6.4442 6.4442 19.8379 Å, 90.00 90.00 120.00°
Last column: nearest neighbours and their distance in Å.
Space group R-3 (No. 148, hexagonal axes)
Unique sites:
La (0.0000, 0.0000, 0.1581) x6  6 Ni 2.92-3.18, 6 Ga 3.15-3.19
Ga (0.0353, 0.4311, 0.3742) x18  4 Ni 2.44-2.53, 2 Ga 2.68
Ni (0.0124, 0.2295, 0.5818) x18  4 Ga 2.44-2.53, 2 Ni 2.49

E above lowest polymorph ... 0.0 meV per atom
Energy of formation ... -301.3 meV/atom